# 1
{"formula": "Dy2Co3Si5", "functional": "GGA-PBE", "state": "optimized geometry", "lattice": [[-4.7608, 5.6108, 2.7694], [4.7608, -5.6108, 2.7694], [4.7608, 5.6108, -2.7694]], "species": ["Dy", "Dy", "Dy", "Dy", "Co", "Co", "Co", "Co", "Co", "Co", "Si", "Si", "Si", "Si", "Si", "Si", "Si", "Si", "Si", "Si"], "frac_coords": [[0.1337, 0.2336, 0.3674], [0.3663, 0.7336, 0.0999], [0.6337, 0.2664, 0.9001], [0.8663, 0.7664, 0.6326], [0.1377, 0.8909, 0.0286], [0.2500, 0.7500, 0.5000], [0.3623, 0.3909, 0.7533], [0.6377, 0.6091, 0.2467], [0.7500, 0.2500, 0.5000], [0.8623, 0.1091, 0.9714], [0.0229, 0.7500, 0.2729], [0.1011, 0.6579, 0.7590], [0.2500, 0.2500, 0.0000], [0.3989, 0.1579, 0.5568], [0.4771, 0.7500, 0.7271], [0.5229, 0.2500, 0.2729], [0.6011, 0.8421, 0.4432], [0.7500, 0.7500, 0.0000], [0.8989, 0.3421, 0.2410], [0.9771, 0.2500, 0.7271]], "e_tot_ha_per_atom": -0.240, "magmom_total_mub_per_fu": 0.0, "polymorph_energy_mev_per_atom": 4}


# 2
{"formula": "DyCo2Si2", "functional": "GGA-PBE", "state": "optimized geometry", "lattice": [[3.8705, 0.0000, 0.0000], [0.0000, 3.8705, 0.0000], [0.0000, 0.0000, 9.7330]], "species": ["Dy", "Dy", "Co", "Co", "Co", "Co", "Si", "Si", "Si", "Si"], "frac_coords": [[0.0000, 0.0000, 0.0000], [0.5000, 0.5000, 0.5000], [0.0000, 0.5000, 0.2500], [0.0000, 0.5000, 0.7500], [0.5000, 0.0000, 0.2500], [0.5000, 0.0000, 0.7500], [0.0000, 0.0000, 0.3716], [0.0000, 0.0000, 0.6284], [0.5000, 0.5000, 0.1284], [0.5000, 0.5000, 0.8716]], "e_tot_ha_per_atom": -0.248, "magmom_total_mub_per_fu": 0.0}


# 3
{"formula": "Dy2Co3Si5", "functional": "GGA-PBE", "state": "optimized geometry", "lattice": [[5.3681, -5.7015, 0.0000], [5.3681, 5.7015, 0.0000], [-2.6312, 0.0000, 4.8125]], "species": ["Dy", "Dy", "Dy", "Dy", "Co", "Co", "Co", "Co", "Co", "Co", "Si", "Si", "Si", "Si", "Si", "Si", "Si", "Si", "Si", "Si"], "frac_coords": [[0.0978, 0.3696, 0.2365], [0.3696, 0.0978, 0.7365], [0.6304, 0.9022, 0.2635], [0.9022, 0.6304, 0.7635], [0.0395, 0.7632, 0.3734], [0.2368, 0.9605, 0.1266], [0.4966, 0.5034, 0.2500], [0.5034, 0.4966, 0.7500], [0.7632, 0.0395, 0.8734], [0.9605, 0.2368, 0.6266], [0.0116, 0.9884, 0.7500], [0.2375, 0.4360, 0.8350], [0.2708, 0.7292, 0.7500], [0.2859, 0.7141, 0.2500], [0.4360, 0.2375, 0.3350], [0.5640, 0.7625, 0.6650], [0.7141, 0.2859, 0.7500], [0.7292, 0.2708, 0.2500], [0.7625, 0.5640, 0.1650], [0.9884, 0.0116, 0.2500]], "e_tot_ha_per_atom": -0.240, "magmom_total_mub_per_fu": 0.3, "polymorph_energy_mev_per_atom": 0}


# 4
{"formula": "Dy2CoSi2", "functional": "GGA-PBE", "state": "optimized geometry", "lattice": [[5.2071, -2.0633, 0.0000], [5.2071, 2.0633, 0.0000], [-4.8561, 0.0000, 8.7124]], "species": ["Dy", "Dy", "Dy", "Dy", "Co", "Co", "Si", "Si", "Si", "Si"], "frac_coords": [[0.9998, 0.9998, 0.1716], [0.0001, 0.0001, 0.8284], [0.1868, 0.1868, 0.6069], [0.8132, 0.8132, 0.3931], [0.2729, 0.2729, 0.1227], [0.7271, 0.7271, 0.8773], [0.3490, 0.3490, 0.9343], [0.4944, 0.4944, 0.6252], [0.5056, 0.5056, 0.3748], [0.6510, 0.6510, 0.0657]], "e_tot_ha_per_atom": -0.228, "magmom_total_mub_per_fu": 0.4}


# 5
{"formula": "SmDyCo2Si2", "functional": "GGA-PBE", "state": "optimized geometry", "lattice": [[3.9706, 0.0000, 0.0000], [0.0000, 3.9706, 0.0000], [0.0000, 0.0000, 6.8273]], "species": ["Sm", "Dy", "Co", "Co", "Si", "Si"], "frac_coords": [[0.0000, 0.0000, 0.0000], [0.5000, 0.5000, 0.6298], [0.0000, 0.5000, 0.3245], [0.5000, 0.0000, 0.3245], [0.0000, 0.0000, 0.5052], [0.5000, 0.5000, 0.1455]], "e_tot_ha_per_atom": -0.237, "magmom_total_mub_per_fu": 0.5}


# 6
{"formula": "SrDyCo2Si2", "functional": "GGA-PBE", "state": "optimized geometry", "lattice": [[3.9484, 0.0000, 0.0000], [0.0000, 3.9484, 0.0000], [0.0000, 0.0000, 7.2739]], "species": ["Sr", "Dy", "Co", "Co", "Si", "Si"], "frac_coords": [[0.0000, 0.0000, 0.0000], [0.5000, 0.5000, 0.6344], [0.0000, 0.5000, 0.3481], [0.5000, 0.0000, 0.3481], [0.0000, 0.0000, 0.5121], [0.5000, 0.5000, 0.1809]], "e_tot_ha_per_atom": -0.212, "magmom_total_mub_per_fu": 0.0}


# 7
{"formula": "TbDyCoSi2", "functional": "GGA-PBE", "state": "optimized geometry", "lattice": [[5.1941, -2.0742, 0.0000], [5.1941, 2.0742, 0.0000], [-4.8073, 0.0000, 8.8001]], "species": ["Tb", "Tb", "Dy", "Dy", "Co", "Co", "Si", "Si", "Si", "Si"], "frac_coords": [[0.0015, 0.0015, 0.3291], [0.9985, 0.9985, 0.6709], [0.1886, 0.1886, 0.1114], [0.8114, 0.8114, 0.8886], [0.2760, 0.2760, 0.6396], [0.7240, 0.7240, 0.3604], [0.3439, 0.3439, 0.4367], [0.4924, 0.4924, 0.1213], [0.5076, 0.5076, 0.8787], [0.6561, 0.6561, 0.5633]], "e_tot_ha_per_atom": -0.227, "magmom_total_mub_per_fu": 0.1}


# 8
{"formula": "DyCoSi2Tc", "functional": "GGA-PBE", "state": "optimized geometry", "lattice": [[4.0863, 0.0000, 0.0000], [0.0000, 4.0863, 0.0000], [0.0000, 0.0000, 9.6692]], "species": ["Dy", "Dy", "Co", "Co", "Si", "Si", "Si", "Si", "Tc", "Tc"], "frac_coords": [[0.0000, 0.0000, 0.0000], [0.5000, 0.5000, 0.5000], [0.0000, 0.5000, 0.7500], [0.5000, 0.0000, 0.2500], [0.0000, 0.0000, 0.3697], [0.0000, 0.0000, 0.6303], [0.5000, 0.5000, 0.1303], [0.5000, 0.5000, 0.8697], [0.0000, 0.5000, 0.2500], [0.5000, 0.0000, 0.7500]], "e_tot_ha_per_atom": -0.268, "magmom_total_mub_per_fu": 0.0}


# 9
{"formula": "DyYCo2Si4", "functional": "GGA-PBE", "state": "optimized geometry", "lattice": [[3.9692, 0.0000, 0.0000], [0.0000, 4.0322, 0.0000], [0.0000, 0.0000, 16.2587]], "species": ["Dy", "Dy", "Y", "Y", "Co", "Co", "Co", "Co", "Si", "Si", "Si", "Si", "Si", "Si", "Si", "Si"], "frac_coords": [[0.0000, 0.0000, 0.0000], [0.0000, 0.5000, 0.5000], [0.5000, 0.0000, 0.7845], [0.5000, 0.5000, 0.2845], [0.0000, 0.0000, 0.2126], [0.0000, 0.5000, 0.7126], [0.5000, 0.0000, 0.5712], [0.5000, 0.5000, 0.0712], [0.0000, 0.0000, 0.3492], [0.0000, 0.0000, 0.6420], [0.0000, 0.5000, 0.1420], [0.0000, 0.5000, 0.8492], [0.5000, 0.0000, 0.1415], [0.5000, 0.0000, 0.4351], [0.5000, 0.5000, 0.6415], [0.5000, 0.5000, 0.9351]], "e_tot_ha_per_atom": -0.245, "magmom_total_mub_per_fu": 0.0}


# 10
{"formula": "DyYCo2Si2", "functional": "GGA-PBE", "state": "optimized geometry", "lattice": [[3.9628, 0.0000, 0.0000], [0.0000, 3.9628, 0.0000], [0.0000, 0.0000, 6.6659]], "species": ["Dy", "Y", "Co", "Co", "Si", "Si"], "frac_coords": [[0.0000, 0.0000, 0.0000], [0.5000, 0.5000, 0.3608], [0.0000, 0.5000, 0.6824], [0.5000, 0.0000, 0.6824], [0.0000, 0.0000, 0.4947], [0.5000, 0.5000, 0.8687]], "e_tot_ha_per_atom": -0.249, "magmom_total_mub_per_fu": 0.5}


# 11
{"formula": "SmDyCo", "functional": "GGA-PBE", "state": "optimized geometry", "lattice": [[6.6377, 0.0000, 0.0000], [0.0000, 6.6377, 0.0000], [0.0000, 0.0000, 6.6377]], "species": ["Sm", "Sm", "Sm", "Sm", "Dy", "Dy", "Dy", "Dy", "Co", "Co", "Co", "Co"], "frac_coords": [[0.0000, 0.0000, 0.0000], [0.0000, 0.5000, 0.5000], [0.5000, 0.0000, 0.5000], [0.5000, 0.5000, 0.0000], [0.2500, 0.2500, 0.7500], [0.2500, 0.7500, 0.2500], [0.7500, 0.2500, 0.2500], [0.7500, 0.7500, 0.7500], [0.0000, 0.0000, 0.5000], [0.0000, 0.5000, 0.0000], [0.5000, 0.0000, 0.0000], [0.5000, 0.5000, 0.5000]], "formation_energy_mev_per_atom": 762, "e_tot_ha_per_atom": -0.173, "magmom_total_mub_per_fu": 0.0, "polymorph_energy_mev_per_atom": 0}


# 12
{"formula": "Sm3Dy2YCoTe2", "functional": "GGA-PBE", "state": "optimized geometry", "lattice": [[3.9790, 0.0000, 0.0000], [0.0000, 7.3076, 4.1966], [0.0000, -7.3076, 4.1966]], "species": ["Sm", "Sm", "Sm", "Dy", "Dy", "Y", "Co", "Te", "Te"], "frac_coords": [[0.0000, 0.0000, 0.0000], [0.0000, 0.1970, 0.6019], [0.0000, 0.6019, 0.1970], [0.5000, 0.5987, 0.8323], [0.5000, 0.8323, 0.5987], [0.5000, 0.3650, 0.3650], [0.0000, 0.6075, 0.6075], [0.5000, 0.2672, 0.9347], [0.5000, 0.9347, 0.2672]], "e_tot_ha_per_atom": -0.202, "magmom_total_mub_per_fu": 0.0}